AcHg4 | PBE | relaxed

Structure (CIF):
```
data_AcHg4
_cell_length_a 6.539
_cell_length_b 6.539
_cell_length_c 6.539
_cell_angle_alpha 90.00
_cell_angle_beta 90.00
_cell_angle_gamma 90.00
_symmetry_space_group_name_H-M 'P m -3 m'
_symmetry_Int_Tables_number 221
_symmetry_space_group_name_Hall '-P 4 2 3'
loop_
_atom_site_label
_atom_site_fract_x
_atom_site_fract_y
_atom_site_fract_z
Ac1 0.000 0.000 0.000
Hg1 0.000 0.000 0.500
Hg2 0.500 0.500 0.500
```

Computed properties:
M_tot: 0.00 μB/f.u.
E_form: 0.28 eV per atom